Entry 1:
The following is a GGA-PBE calculation of a relaxed CsAs2Rh crystal, from the Alexandria database.

Summary:
* calculated volume: 26.38 A^3/atom
* total magnetic moment: 0.00 μB per cell
* SG: R-3m (166)
* formation energy from the elements: -373 meV per atom
* energy above the lowest structure with this stoichiometry: 0 meV per atom

Unit cell a=7.3202 b=7.3202 c=7.3202 alpha=33.35 beta=33.35 gamma=33.35
Last column: nearest neighbours and their distance in Å.
Element x y z (fractional)
Cs 0.0000 0.0000 0.0000  6 As 3.61
As 0.2045 0.2045 0.2045  3 Rh 2.55
As 0.7955 0.7955 0.7955  3 Rh 2.55
Rh 0.5000 0.5000 0.5000  6 As 2.55

Entry 2:
The following is a GGA-PBE calculation of a relaxed Pm2Ga4FeIr3 crystal, from the Alexandria database.

Summary:
* calculated volume: 18.47 A^3/atom
* total magnetic moment: 2.04 μB per cell
* SG: P-4m2 (115)
* formation energy from the elements: -591 meV per atom

Unit cell a=4.1062 b=4.1062 c=10.9525 alpha=90.00 beta=90.00 gamma=90.00
Last column: nearest neighbours and their distance in Å.
Element x y z (fractional)
Pm 0.0000 0.5000 0.2479  6 Ir 3.16-3.40, 8 Ga 3.17-3.44, 2 Fe 3.40
Pm 0.5000 0.0000 0.7521  6 Ir 3.16-3.40, 8 Ga 3.17-3.44, 2 Fe 3.40
Ga 0.0000 0.0000 0.5000  4 Ir 2.55
Ga 0.0000 0.5000 0.8685  2 Fe 2.51, 3 Ir 2.51-2.53
Ga 0.5000 0.0000 0.1315  2 Fe 2.51, 3 Ir 2.51-2.53
Ga 0.5000 0.5000 0.5000  4 Ir 2.55
Fe 0.5000 0.5000 0.0000  4 Ga 2.51
Ir 0.0000 0.0000 0.0000  4 Ga 2.51
Ir 0.0000 0.5000 0.6379  5 Ga 2.53-2.55
Ir 0.5000 0.0000 0.3621  5 Ga 2.53-2.55

Entry 3:
The following is a GGA-PBE calculation of a relaxed LiAcGa2Ag4 crystal, from the Alexandria database.

Summary:
* calculated volume: 20.43 A^3/atom
* total magnetic moment: 0.00 μB per cell
* SG: R-3m (166)
* formation energy from the elements: -241 meV per atom

Unit cell a=9.3547 b=9.3547 c=9.3547 alpha=28.38 beta=28.38 gamma=28.38
Last column: nearest neighbours and their distance in Å.
Element x y z (fractional)
Li 0.0000 0.0000 0.0000  8 Ag 2.52-2.77
Ac 0.5000 0.5000 0.5000  8 Ag 3.30-3.66, 6 Ga 3.61
Ga 0.2580 0.2580 0.2580  7 Ag 2.69-2.91
Ga 0.7420 0.7420 0.7420  7 Ag 2.69-2.91
Ag 0.0937 0.0937 0.0937  1 Li 2.52, 3 Ga 2.69
Ag 0.3640 0.3640 0.3640  3 Li 2.77, 4 Ga 2.86-2.91
Ag 0.6360 0.6360 0.6360  3 Li 2.77, 4 Ga 2.86-2.91
Ag 0.9063 0.9063 0.9063  1 Li 2.52, 3 Ga 2.69

Entry 4:
The following is a GGA-PBE calculation of a relaxed AgHgI crystal, from the Alexandria database.

Summary:
* calculated volume: 37.00 A^3/atom
* formation energy from raw total energies: -0.14 eV per atom
* total magnetic moment: 0.00 μB per cell
* SG: P1 (1)
* energy above the lowest structure with this stoichiometry: 0 meV per atom

Unit cell a=4.6340 b=6.5861 c=7.5796 alpha=106.35 beta=90.07 gamma=90.06
Last column: nearest neighbours and their distance in Å.
Element x y z (fractional)
Ag 0.0000 0.0000 0.0000  3 I 2.80-2.83, 1 Hg 2.93
Ag 0.4972 0.0273 0.5114  3 I 2.80-2.83, 1 Hg 2.88
Hg 0.9997 0.5968 0.0918  1 Ag 2.93
Hg 0.4985 0.4378 0.7759  1 Ag 2.88
I 0.5005 0.1747 0.1984  3 Ag 2.80-2.83
I 0.9975 0.8434 0.6163  3 Ag 2.80-2.83